! BaPuIr2O8 (PBE, relaxed); values from VASP
! symmetry = No. 147
! total moment = 4.0 μB/f.u.
! formation energy from raw total energies = -1350 meV per atom
&SYSTEM
  ibrav = 0, nat = 12, ntyp = 4
/
ATOMIC_SPECIES
Ba 137.33 Ba.upf
Pu 244.00 Pu.upf
Ir 192.22 Ir.upf
O 16.00 O.upf
CELL_PARAMETERS angstrom
5.8399 0.0000 0.0000
-2.9199 5.0575 0.0000
0.0000 0.0000 7.6048
ATOMIC_POSITIONS crystal
Ba 0.0000 0.0000 0.0000
Pu 0.0000 0.0000 0.5000
Ir 0.3333 0.6667 0.7784
Ir 0.6667 0.3333 0.2216
O 0.1189 0.3217 0.6864
O 0.2027 0.8811 0.6864
O 0.3217 0.2027 0.3136
O 0.3333 0.6667 0.0171
O 0.6667 0.3333 0.9829
O 0.6783 0.7973 0.6864
O 0.7973 0.1189 0.3136
O 0.8811 0.6783 0.3136


! InBiTeSe2 (PBE, relaxed); values from VASP
! symmetry = No. 11
! total moment = 0.0 μB/f.u.
! formation energy from raw total energies = -308 meV per atom
&SYSTEM
  ibrav = 0, nat = 10, ntyp = 4
/
ATOMIC_SPECIES
In 114.82 In.upf
Bi 208.98 Bi.upf
Te 127.60 Te.upf
Se 78.96 Se.upf
CELL_PARAMETERS angstrom
7.0252 0.0000 0.0000
0.0000 5.6589 0.0000
-0.5955 0.0000 8.3426
ATOMIC_POSITIONS crystal
In 0.1120 0.2500 0.3532
In 0.8880 0.7500 0.6468
Bi 0.2440 0.2500 0.9058
Bi 0.7560 0.7500 0.0942
Te 0.4759 0.2500 0.2340
Te 0.5241 0.7500 0.7660
Se 0.0580 0.7500 0.3770
Se 0.1080 0.7500 0.9320
Se 0.8920 0.2500 0.0680
Se 0.9420 0.2500 0.6230


! Be2PtF (PBE, relaxed); values from VASP
! energy above the lowest structure with this stoichiometry = 0.89 eV/f.u.
! symmetry = No. 1
! total moment = 0.0 μB/f.u.
! formation energy from raw total energies = -1234 meV per atom
&SYSTEM
  ibrav = 0, nat = 8, ntyp = 3
/
ATOMIC_SPECIES
Be 9.01 Be.upf
Pt 195.08 Pt.upf
F 19.00 F.upf
CELL_PARAMETERS angstrom
3.5478 0.0000 0.0000
-1.7313 5.0394 0.0000
-1.1342 -2.3701 5.9630
ATOMIC_POSITIONS crystal
Be 0.0000 0.0000 0.0000
Be 0.0775 0.4201 0.4184
Be 0.3518 0.0165 0.4526
Be 0.6901 0.5303 0.7037
Pt 0.0274 0.2249 0.6766
Pt 0.3343 0.8160 0.7195
F 0.0355 0.3082 0.1723
F 0.1762 0.9004 0.1947